# 1
PBE-GGA YCo2Ge2, relaxed; crystal system = tetragonal; ρ = 7.4 g/cm³; energy of formation from the pure elements = -0.62 eV per atom; spin magnetization = 0.00 μB per formula unit; density of states at the Fermi level = 0.648 states/eV/atom
1.0
-3.533 1.581 0.803
-1.712 -3.507 -0.628
-2.029 -2.132 5.002
Y Ge Co
1 2 2
Direct
0.000 0.000 0.000
0.372 0.372 0.256
0.628 0.628 0.744
0.750 0.250 0.500
0.250 0.750 0.500

# 2
PBE-GGA Y2CoGe6, relaxed; crystal system = orthorhombic; ρ = 6.4 g/cm³; energy of formation from the pure elements = -0.49 eV per atom; spin magnetization = 0.00 μB per formula unit; density of states at the Fermi level = 0.492 states/eV/atom
1.0
0.393 3.197 -10.481
-2.279 -6.229 8.732
-3.562 1.950 0.461
Y Co Ge
2 1 6
Direct
0.777 0.223 0.500
0.114 0.886 0.500
0.555 0.445 0.000
0.500 0.500 0.500
0.383 0.617 0.500
0.999 0.001 0.000
0.881 0.119 0.000
0.661 0.339 0.000
0.236 0.764 0.000

# 3
PBE-GGA YCo2Ge2, relaxed; crystal system = tetragonal; ρ = 7.3 g/cm³; energy of formation from the pure elements = -0.44 eV per atom; spin magnetization = 0.62 μB per formula unit; density of states at the Fermi level = 1.000 states/eV/atom
1.0
-3.330 1.050 -2.259
2.021 -1.066 -3.475
-2.280 -4.338 -2.483
Y Ge Co
1 2 2
Direct
0.000 0.000 0.000
0.750 0.250 0.500
0.250 0.750 0.500
0.378 0.378 0.245
0.622 0.622 0.755